[1]
Material: BaTaVI2
Method: DFT, PBE
State: optimized geometry

Calculated values
D(E_F) (states/eV/cell): 8.149
Raw formation energy (kJ/mol of formula units): 542

Unit cell a=5.444 b=5.444 c=6.575 alpha=90.00 beta=90.00 gamma=90.00
Site moments in Bohr magnetons follow the coordinates.
Fractional positions:
I 0.000 0.500 0.000  -0.01
I 0.500 0.000 0.000  -0.01
V 0.000 0.000 0.000  2.98
Ta 0.500 0.500 0.500  2.27
Ba 0.000 0.000 0.500  0.24

---

[2]
Material: PrEuO
Method: DFT, PBE
State: optimized geometry

Calculated values
D(E_F) (states/eV/cell): 2.235
Raw formation energy (kJ/mol of formula units): -483

Unit cell a=3.694 b=3.694 c=6.225 alpha=90.00 beta=90.00 gamma=120.00
Site moments in Bohr magnetons follow the coordinates.
Fractional positions:
Pr 0.667 0.333 0.436  0.32
Eu 0.000 0.000 0.891  6.93
O 0.333 0.667 0.673  -0.02

---

[3]
Material: Pm2NdYAs4
Method: DFT, PBE
State: optimized geometry

Calculated values
Energy relative to the elements (kJ/mol of formula units): -1178.0
D(E_F) (states/eV/cell): 0.718

Unit cell a=4.222 b=7.307 c=7.306 alpha=70.53 beta=90.00 gamma=90.00
Fractional positions:
Y 0.000 0.500 0.500
Nd 0.500 0.500 0.000
As 0.000 0.749 0.746
As 0.500 0.746 0.255
As 0.000 0.251 0.254
As 0.500 0.254 0.745
Pm 0.500 0.000 0.500
Pm 0.000 0.000 0.000

---

[4]
Material: BaIn2Ag2
Method: DFT, PBE
State: optimized geometry

Calculated values
Energy relative to the elements (kJ/mol of formula units): -125.3
D(E_F) (states/eV/cell): 5.355

Unit cell a=6.258 b=6.960 c=8.039 alpha=84.71 beta=66.85 gamma=63.14
Fractional positions:
Ag 0.492 0.702 0.050
Ag 0.244 0.797 0.449
Ag 0.508 0.298 0.950
Ag 0.756 0.203 0.551
In 0.810 0.855 0.779
In 0.557 0.354 0.279
In 0.443 0.646 0.721
In 0.190 0.145 0.221
Ba 0.869 0.750 0.250
Ba 0.131 0.250 0.750

---

Going through the records in order, we get calculated volume values of 194.9; 73.6; 212.5; 142.8 Å³/f.u..
Going through the records in order, we get uncorrected energy values of -4.075; -8.339; -6.442; -2.880 eV per atom.